A geometry-optimized Cs5As2I2 structure. Source: the Alexandria database, functional GGA-PBE.

Values from the calculation:
Uncorrected energy = -49.4 eV for the cell shown
Space group = Cmce
Spin magnetization = 1.04 μB/f.u.
D(E_F) = 11.634 states/eV per cell
Formation energy without anion corrections = -8.0 eV/f.u.

Cell: 9.6253 9.6413 10.8961 Å, 90.00 63.79 90.00°
With the nearest neighbours (Å) after each atom.
Element x y z (fractional)
Cs1 0.0462 0.6754 0.2595  3 As 3.70-4.08, 3 I 3.85-4.00
Cs2 0.8057 0.8246 0.7405  3 As 3.70-4.08, 3 I 3.85-4.00
Cs3 0.5000 0.5000 0.0000  2 I 4.03, 4 As 4.04-4.05, 8 Cs 4.36-4.37
Cs4 0.3057 0.6754 0.7405  3 As 3.70-4.08, 3 I 3.85-4.00
Cs5 0.9538 0.3246 0.7405  3 As 3.70-4.08, 3 I 3.85-4.00
Cs6 0.0000 0.0000 0.0000  2 I 4.03, 4 As 4.04-4.05, 8 Cs 4.36-4.37
Cs7 0.4538 0.1754 0.7405  3 As 3.70-4.08, 3 I 3.85-4.00
Cs8 0.5462 0.8246 0.2595  3 As 3.70-4.08, 3 I 3.85-4.00
Cs9 0.1943 0.1754 0.2595  3 As 3.70-4.08, 3 I 3.85-4.00
Cs10 0.6943 0.3246 0.2595  3 As 3.70-4.08, 3 I 3.85-4.00
As1 0.5901 0.0899 0.0000  1 As 2.45
As2 0.0901 0.4101 0.0000  1 As 2.45
As3 0.9099 0.5899 0.0000  1 As 2.45
As4 0.4099 0.9101 0.0000  1 As 2.45
I1 0.2938 0.5000 0.4124  7 Cs 3.85-4.03
I2 0.2062 0.0000 0.5876  7 Cs 3.85-4.03
I3 0.7062 0.5000 0.5876  7 Cs 3.85-4.03
I4 0.7938 0.0000 0.4124  7 Cs 3.85-4.03